VASP calculation (PBE) on a relaxed structure of BaReH9.

## Properties
energy relative to the lowest polymorph listed for this composition: 0 meV per atom

Unit cell a=5.1494 b=5.1494 c=9.5941 alpha=90.00 beta=90.00 gamma=120.00
Space group P6_3/mmc (No. 194)
One atom of each set of equivalent atoms:
Ba: 0.0000 0.0000 0.0000 [2 per cell]
Re: 0.3333 0.6667 0.2500 [2 per cell]
H: 0.0607 0.5304 0.1244 [12 per cell]
H: 0.1457 0.2914 0.2500 [6 per cell]

---

VASP calculation (PBE) on a relaxed structure of PaIn2SiO8.

## Properties
uncorrected formation energy: -2.185 eV/atom

Unit cell a=6.791 b=6.812 c=6.516 alpha=90.00 beta=90.00 gamma=90.00
Space group Cmmm (No. 65)
One atom of each set of equivalent atoms:
Pa: 0.000 0.000 0.000 [2 per cell]
In: 0.000 0.500 0.268 [4 per cell]
Si: 0.000 0.000 0.500 [2 per cell]
O: 0.000 0.267 0.500 [4 per cell]
O: 0.000 0.308 0.000 [4 per cell]
O: 0.178 0.000 0.292 [8 per cell]

---

VASP calculation (PBE) on a relaxed structure of ZrBe3Fe.

## Properties
energy relative to the lowest polymorph listed for this composition: 0 meV per atom
formation energy: 52 meV/atom

Unit cell a=3.945 b=3.945 c=3.945 alpha=90.00 beta=90.00 gamma=90.00
Space group Pm-3m (No. 221)
One atom of each set of equivalent atoms:
Zr: 0.000 0.000 0.000 [1 per cell]
Be: 0.000 0.500 0.500 [3 per cell]
Fe: 0.500 0.500 0.500 [1 per cell]

---

VASP calculation (PBE) on a relaxed structure of ScCu2Re.

## Properties
energy relative to the lowest polymorph listed for this composition: 45 meV per atom
formation energy: 138 meV/atom

Unit cell a=4.360 b=4.360 c=3.087 alpha=90.00 beta=90.00 gamma=90.00
Space group P4/mmm (No. 123)
One atom of each set of equivalent atoms:
Sc: 0.000 0.000 0.000 [1 per cell]
Cu: 0.000 0.500 0.500 [2 per cell]
Re: 0.500 0.500 0.000 [1 per cell]

---

Calculated total DFT energy (no corrections) (eV/cell), listed in the same order as above: -95.76; -172.55; -27.93; -26.42
Calculated DOS at the Fermi energy (states/eV/f.u.), listed in the same order as above: 0.0; 3.0; 3.3; 2.4